# 1
A plane-wave DFT calculation with GGA-PBE was carried out for an optimized crystal structure of Li2Tl2BiPb2.

Cell and atoms, written as CIF:
```
data_Li2Tl2BiPb2
_cell_length_a 5.1615
_cell_length_b 5.1615
_cell_length_c 9.7434
_cell_angle_alpha 90.00
_cell_angle_beta 90.00
_cell_angle_gamma 120.00
_symmetry_space_group_name_H-M 'P -3 m 1'
_symmetry_Int_Tables_number 164
_symmetry_space_group_name_Hall '-P 3 2"'
loop_
_atom_site_label
_atom_site_type_symbol
_atom_site_fract_x
_atom_site_fract_y
_atom_site_fract_z
_atom_site_occupancy
Li1 Li 0.3333 0.6667 0.4341 1
Tl1 Tl 0.3333 0.6667 0.9288 1
Bi1 Bi 0.0000 0.0000 0.5000 1
Pb1 Pb 0.0000 0.0000 0.1765 1
```

Calculated values
* formation energy from the elements: -0.341 eV per formula unit
* crystal system: trigonal
* magnetic moment: 0.000 μB/atom


# 2
A plane-wave DFT calculation with GGA-PBE was carried out for an optimized crystal structure of Y2GePb2.

Cell and atoms, written as CIF:
```
data_Y2GePb2
_cell_length_a 7.708
_cell_length_b 7.708
_cell_length_c 4.819
_cell_angle_alpha 90.00
_cell_angle_beta 90.00
_cell_angle_gamma 90.00
_symmetry_space_group_name_H-M 'P 4/m b m'
_symmetry_Int_Tables_number 127
_symmetry_space_group_name_Hall '-P 4 2ab'
loop_
_atom_site_label
_atom_site_type_symbol
_atom_site_fract_x
_atom_site_fract_y
_atom_site_fract_z
_atom_site_occupancy
Y1 Y 0.169 0.331 0.000 1
Ge1 Ge 0.000 0.000 0.000 1
Pb1 Pb 0.145 0.645 0.500 1
```

Calculated values
* formation energy from the elements: -2.102 eV per formula unit
* crystal system: tetragonal
* energy above the most stable polymorph in this dataset: 0.00 eV/f.u.
* magnetic moment: 0.000 μB/atom


# 3
A plane-wave DFT calculation with GGA-PBE was carried out for an optimized crystal structure of RbSr3Au.

Cell and atoms, written as CIF:
```
data_RbSr3Au
_cell_length_a 6.521
_cell_length_b 6.521
_cell_length_c 6.521
_cell_angle_alpha 90.00
_cell_angle_beta 90.00
_cell_angle_gamma 90.00
_symmetry_space_group_name_H-M 'P m -3 m'
_symmetry_Int_Tables_number 221
_symmetry_space_group_name_Hall '-P 4 2 3'
loop_
_atom_site_label
_atom_site_type_symbol
_atom_site_fract_x
_atom_site_fract_y
_atom_site_fract_z
_atom_site_occupancy
Rb1 Rb 0.000 0.000 0.000 1
Sr1 Sr 0.000 0.000 0.500 1
Au1 Au 0.500 0.500 0.500 1
```

Calculated values
* formation energy from the elements: 5.051 eV per formula unit
* crystal system: cubic
* energy above the most stable polymorph in this dataset: 6.53 eV/f.u.
* magnetic moment: 0.536 μB/atom


Number 1: theoretical density 7727 kg/m3, E_tot -0.21208 Ry per atom. Number 2: theoretical density 7712 kg/m3, E_tot -0.39784 Ry per atom. Number 3: theoretical density 3265 kg/m3, E_tot -0.06232 Ry per atom.